(1)
Material: Al5ZnNi4
Method: DFT, PBE
State: optimized geometry

Computed properties:
raw total energy = -4.8067 eV/atom
ΔH_f (0 K) = -0.495 eV/atom

CIF file:
```
data_Al5ZnNi4
_cell_length_a 2.9759
_cell_length_b 2.9759
_cell_length_c 14.3185
_cell_angle_alpha 90.00
_cell_angle_beta 90.00
_cell_angle_gamma 90.00
_symmetry_space_group_name_H-M 'P 1'
_symmetry_Int_Tables_number 1
loop_
_symmetry_equiv_pos_as_xyz
'x,y,z'
loop_
_atom_site_label
_atom_site_type_symbol
_atom_site_fract_x
_atom_site_fract_y
_atom_site_fract_z
Al1 Al 0.0000 0.0000 0.0000
Al2 Al 0.0000 0.0000 0.1943
Al3 Al 0.0000 0.0000 0.3865
Al4 Al 0.0000 0.0000 0.6135
Al5 Al 0.0000 0.0000 0.8057
Zn1 Zn 0.5000 0.5000 0.5000
Ni1 Ni 0.5000 0.5000 0.0977
Ni2 Ni 0.5000 0.5000 0.2954
Ni3 Ni 0.5000 0.5000 0.7046
Ni4 Ni 0.5000 0.5000 0.9023
```

(2)
Material: AlZn3Ni
Method: DFT, PBE
State: optimized geometry

Computed properties:
distance to the lowest polymorph of the same formula = 0.0 meV/atom
raw total energy = -2.3701 eV/atom
ΔH_f (0 K) = 0.299 eV/atom

CIF file:
```
data_AlZn3Ni
_cell_length_a 4.5569
_cell_length_b 4.5569
_cell_length_c 4.5569
_cell_angle_alpha 90.00
_cell_angle_beta 90.00
_cell_angle_gamma 90.00
_symmetry_space_group_name_H-M 'P 1'
_symmetry_Int_Tables_number 1
loop_
_symmetry_equiv_pos_as_xyz
'x,y,z'
loop_
_atom_site_label
_atom_site_type_symbol
_atom_site_fract_x
_atom_site_fract_y
_atom_site_fract_z
Al1 Al 0.0000 0.0000 0.0000
Zn1 Zn 0.0000 0.5000 0.5000
Zn2 Zn 0.5000 0.0000 0.5000
Zn3 Zn 0.5000 0.5000 0.0000
Ni1 Ni 0.5000 0.5000 0.5000
```

(3)
Material: AlZnNi2
Method: DFT, PBE
State: optimized geometry

Computed properties:
raw total energy = -4.4300 eV/atom
ΔH_f (0 K) = -0.285 eV/atom

CIF file:
```
data_AlZnNi2
_cell_length_a 2.6679
_cell_length_b 3.6558
_cell_length_c 5.0873
_cell_angle_alpha 90.00
_cell_angle_beta 90.00
_cell_angle_gamma 90.00
_symmetry_space_group_name_H-M 'P 1'
_symmetry_Int_Tables_number 1
loop_
_symmetry_equiv_pos_as_xyz
'x,y,z'
loop_
_atom_site_label
_atom_site_type_symbol
_atom_site_fract_x
_atom_site_fract_y
_atom_site_fract_z
Al1 Al 0.0000 0.0000 0.0000
Zn1 Zn 0.5000 0.5000 0.6930
Ni1 Ni 0.0000 0.0000 0.4848
Ni2 Ni 0.5000 0.5000 0.2040
```